Record 1
Entry from Alexandria via LeMat-Bulk: crystalline Tb2C3N6 at its relaxed geometry (PBE-GGA).

Unit cell a=3.8300 b=5.2570 c=7.4830 alpha=96.07 beta=104.83 gamma=90.00
Fractional coordinates of all 11 atoms:
Tb (0.8658, 0.9300, 0.7315)
Tb (0.1342, 0.0700, 0.2685)
C (0.3285, 0.4066, 0.6570)
C (0.6715, 0.5934, 0.3430)
C (0.0000, 0.5000, 0.0000)
N (0.9887, 0.2643, 0.9775)
N (0.6899, 0.8312, 0.3799)
N (0.6562, 0.3609, 0.3124)
N (0.0113, 0.7357, 0.0225)
N (0.3101, 0.1688, 0.6201)
N (0.3438, 0.6391, 0.6876)

Calculated values
* total magnetic moment: 0.00 Bohr magnetons per cell
* ΔE_f (raw): -0.790 eV/atom
* E_tot: -8.688 eV per atom

Record 2
Entry from Alexandria via LeMat-Bulk: crystalline HoErGaGe at its relaxed geometry (PBE-GGA).

Unit cell a=5.0247 b=5.0247 c=5.0247 alpha=60.00 beta=60.00 gamma=60.00
Fractional coordinates of all 4 atoms:
Ge (0.7500, 0.7500, 0.7500)
Ho (0.0000, 0.0000, 0.0000)
Ga (0.2500, 0.2500, 0.2500)
Er (0.5000, 0.5000, 0.5000)

Calculated values
* polymorph energy (0 for the lowest one): 0.216 eV/atom
* calculated formation energy: -0.5698 eV/atom
* total magnetic moment: 0.00 Bohr magnetons per cell
* E_tot: -4.766 eV per atom

Record 3
Entry from Alexandria via LeMat-Bulk: crystalline FeRu2Cl at its relaxed geometry (PBE-GGA).

Unit cell a=4.3844 b=4.3845 c=2.8932 alpha=90.00 beta=90.00 gamma=90.21
Each line ends with the local moment (μB).
Fractional coordinates of all 4 atoms:
Ru (0.0000, 0.0000, 0.0000)  0.59
Ru (0.5000, 0.5000, 0.0000)  0.59
Fe (0.0000, 0.5000, 0.5000)  2.81
Cl (0.5000, 0.0000, 0.5000)  0.05

Calculated values
* polymorph energy (0 for the lowest one): 0.490 eV/atom
* total magnetic moment: 4.09 Bohr magnetons per cell
* ΔE_f (raw): 0.793 eV/atom
* E_tot: -6.422 eV per atom

Record 4
Entry from Alexandria via LeMat-Bulk: crystalline Rb2InGe2 at its relaxed geometry (PBE-GGA).

Unit cell a=7.4044 b=7.4044 c=5.9322 alpha=90.00 beta=90.00 gamma=90.00
Fractional coordinates of all 10 atoms:
Ge (0.3802, 0.8802, 0.0000)
Ge (0.8802, 0.6198, 0.0000)
Ge (0.6198, 0.1198, 0.0000)
Ge (0.1198, 0.3802, 0.0000)
Rb (0.1824, 0.6824, 0.5000)
Rb (0.6824, 0.8176, 0.5000)
Rb (0.8176, 0.3176, 0.5000)
Rb (0.3176, 0.1824, 0.5000)
In (0.0000, 0.0000, 0.0000)
In (0.5000, 0.5000, 0.0000)

Calculated values
* polymorph energy (0 for the lowest one): 0.085 eV/atom
* calculated formation energy: 0.0258 eV/atom
* total magnetic moment: 0.00 Bohr magnetons per cell
* E_tot: -2.756 eV per atom

Record 5
Entry from Alexandria via LeMat-Bulk: crystalline SrCaSbTe2 at its relaxed geometry (PBE-GGA).

Unit cell a=6.0579 b=6.0579 c=5.9027 alpha=90.00 beta=90.00 gamma=90.00
Fractional coordinates of all 5 atoms:
Sb (0.0000, 0.0000, 0.5000)
Ca (0.5000, 0.5000, 0.5000)
Te (0.0000, 0.5000, 0.0000)
Te (0.5000, 0.0000, 0.0000)
Sr (0.0000, 0.0000, 0.0000)

Calculated values
* polymorph energy (0 for the lowest one): 0.337 eV/atom
* total magnetic moment: 0.00 Bohr magnetons per cell
* ΔE_f (raw): -0.169 eV/atom
* E_tot: -2.986 eV per atom

Record 6
Entry from Alexandria via LeMat-Bulk: crystalline Mn2BeTc at its relaxed geometry (PBE-GGA).

Unit cell a=6.4541 b=6.4541 c=5.0768 alpha=50.53 beta=50.53 gamma=90.00
Fractional coordinates of all 8 atoms:
Be (0.5000, 0.5000, 0.0000)
Be (0.2500, 0.7500, 0.5000)
Mn (0.5566, 0.1250, 0.2500)
Mn (0.1934, 0.6250, 0.2500)
Mn (0.3750, 0.4434, 0.7500)
Mn (0.8750, 0.8066, 0.7500)
Tc (0.0000, 0.0000, 0.0000)
Tc (0.7500, 0.2500, 0.5000)

Calculated values
* calculated formation energy: 0.6110 eV/atom
* total magnetic moment: 0.00 Bohr magnetons per cell
* E_tot: -7.497 eV per atom

Record 7
Entry from Alexandria via LeMat-Bulk: crystalline Tb3Hg2Au at its relaxed geometry (PBE-GGA).

Unit cell a=3.6816 b=3.6816 c=11.1753 alpha=90.00 beta=90.00 gamma=90.00
Fractional coordinates of all 6 atoms:
Tb (0.0000, 0.0000, 0.0000)
Tb (0.0000, 0.0000, 0.6568)
Tb (0.0000, 0.0000, 0.3432)
Hg (0.5000, 0.5000, 0.8331)
Hg (0.5000, 0.5000, 0.1669)
Au (0.5000, 0.5000, 0.5000)

Calculated values
* polymorph energy (0 for the lowest one): 0.000 eV/atom
* calculated formation energy: -0.6067 eV/atom
* total magnetic moment: 0.00 Bohr magnetons per cell
* E_tot: -3.569 eV per atom

Record 8
Entry from Alexandria via LeMat-Bulk: crystalline YInBr2 at its relaxed geometry (PBE-GGA).

Unit cell a=5.6514 b=5.6514 c=3.6273 alpha=90.00 beta=90.00 gamma=105.63
Fractional coordinates of all 4 atoms:
Y (0.0000, 0.5000, 0.5000)
Br (0.0000, 0.0000, 0.0000)
Br (0.5000, 0.5000, 0.0000)
In (0.5000, 0.0000, 0.5000)

Calculated values
* polymorph energy (0 for the lowest one): 0.399 eV/atom
* total magnetic moment: 0.00 Bohr magnetons per cell
* ΔE_f (raw): -0.641 eV/atom
* E_tot: -3.778 eV per atom